No. 1
Density functional theory data (PBE) for a geometry-optimized La5Sm3Se8 structure.

volume: 27.364 Å³/atom
total moment: 0.000 μB per formula unit
energy: -97.6 eV/cell
E_form (uncorrected): -1931 meV per atom

Lattice parameters (Å, degrees): 8.5225 8.5225 8.5240 60.01 60.01 60.00
With the nearest neighbours (Å) after each atom.
Element x y z (fractional)
Se1 0.2500 0.2500 0.7432  2 Sm 2.97, 4 La 3.01-3.05
La1 0.0000 0.5000 0.0000  6 Se 3.05
La2 0.0000 0.0000 0.0000  6 Se 3.01
Sm1 0.0000 0.0000 0.5000  6 Se 2.97
Se2 0.2467 0.2467 0.2598  3 Sm 2.97, 3 La 3.05
Se3 0.7533 0.7533 0.7402  3 Sm 2.97, 3 La 3.05
Sm2 0.5000 0.0000 0.5000  6 Se 2.97
La3 0.5000 0.5000 0.5000  6 Se 3.01
Se4 0.7568 0.2500 0.7432  2 Sm 2.97, 4 La 3.01-3.05
Se5 0.2432 0.7500 0.2568  2 Sm 2.97, 4 La 3.01-3.05
Se6 0.7500 0.7500 0.2568  2 Sm 2.97, 4 La 3.01-3.05
Se7 0.7500 0.2432 0.2568  2 Sm 2.97, 4 La 3.01-3.05
La4 0.5000 0.5000 0.0000  6 Se 3.05
Sm3 0.0000 0.5000 0.5000  6 Se 2.97
La5 0.5000 0.0000 0.0000  6 Se 3.05
Se8 0.2500 0.7568 0.7432  2 Sm 2.97, 4 La 3.01-3.05

No. 2
Density functional theory data (PBE) for a geometry-optimized U2Si3Pt12Rh structure.

volume: 18.893 Å³/atom
total moment: 2.683 μB per formula unit
energy: -124.4 eV/cell
E_form (uncorrected): -320 meV per atom

Lattice parameters (Å, degrees): 7.5033 7.5033 7.5033 66.42 66.42 66.42
With the nearest neighbours (Å) after each atom.
Element x y z (fractional)
Pt1 0.1086 0.6370 0.6370  2 Si 2.41
Pt2 0.8535 0.3864 0.8535  1 Si 2.37, 1 Rh 2.59
Pt3 0.1465 0.1465 0.6136  1 Si 2.37, 1 Rh 2.59
Pt4 0.8914 0.3630 0.3630  2 Si 2.41
Pt5 0.6370 0.1086 0.6370  2 Si 2.41
Pt6 0.1465 0.6136 0.1465  1 Si 2.37, 1 Rh 2.59
Si1 0.0000 0.5000 0.0000  6 Pt 2.37-2.41
Pt7 0.3630 0.8914 0.3630  2 Si 2.41
Pt8 0.3864 0.8535 0.8535  1 Si 2.37, 1 Rh 2.59
Si2 0.0000 0.0000 0.5000  6 Pt 2.37-2.41
Si3 0.5000 0.0000 0.0000  6 Pt 2.37-2.41
Pt9 0.3630 0.3630 0.8914  2 Si 2.41
Rh1 0.0000 0.0000 0.0000  6 Pt 2.59
U1 0.3887 0.3887 0.3887  6 Pt 2.68-2.81
U2 0.6113 0.6113 0.6113  6 Pt 2.68-2.81
Pt10 0.6136 0.1465 0.1465  1 Si 2.37, 1 Rh 2.59
Pt11 0.6370 0.6370 0.1086  2 Si 2.41
Pt12 0.8535 0.8535 0.3864  1 Si 2.37, 1 Rh 2.59

No. 3
Density functional theory data (PBE) for a geometry-optimized TbSm2HoN4 structure.

volume: 15.574 Å³/atom
total moment: 0.000 μB per formula unit
energy: -64.6 eV/cell
E_form (uncorrected): -1584 meV per atom

Lattice parameters (Å, degrees): 3.5319 6.1143 6.1174 109.43 90.00 90.00
With the nearest neighbours (Å) after each atom.
Element x y z (fractional)
Sm1 0.5000 0.0000 0.5000  6 N 2.51-2.52
N1 0.0000 0.2510 0.7566  1 Ho 2.47, 2 Tb 2.48, 3 Sm 2.52
Sm2 0.0000 0.5000 0.5000  6 N 2.52-2.53
N2 0.5000 0.2462 0.2425  2 Ho 2.47, 1 Tb 2.48, 3 Sm 2.51-2.53
N3 0.0000 0.7490 0.2434  1 Ho 2.47, 2 Tb 2.48, 3 Sm 2.52
Ho1 0.0000 0.0000 0.0000  6 N 2.47
Tb1 0.5000 0.5000 0.0000  6 N 2.48
N4 0.5000 0.7538 0.7575  2 Ho 2.47, 1 Tb 2.48, 3 Sm 2.51-2.53

No. 4
Density functional theory data (PBE) for a geometry-optimized AlIn4P structure.

volume: 26.108 Å³/atom
total moment: 0.000 μB per formula unit
energy: -16.9 eV/cell
E_form: 0.53 eV/atom

Lattice parameters (Å, degrees): 6.0508 6.0508 6.0508 60.00 60.00 60.00
With the nearest neighbours (Å) after each atom.
Element x y z (fractional)
P1 0.7500 0.7500 0.7500  12 In 3.55, 4 Al 3.71
Al1 0.0000 0.0000 0.0000  12 In 3.55, 4 P 3.71
In1 0.3754 0.3754 0.8737  6 In 3.02-3.04
In2 0.8737 0.3754 0.3754  6 In 3.02-3.04
In3 0.3754 0.8737 0.3754  6 In 3.02-3.04
In4 0.3754 0.3754 0.3754  6 In 3.02-3.04

No. 5
Density functional theory data (PBE) for a geometry-optimized Sr5Br3 structure.

volume: 43.295 Å³/atom
total moment: 0.000 μB per formula unit
energy: -21.0 eV/cell
E_form (uncorrected): -941 meV per atom

Lattice parameters (Å, degrees): 9.1402 9.1402 4.2966 90.00 90.00 105.22
With the nearest neighbours (Å) after each atom.
Element x y z (fractional)
Sr1 0.5000 0.0000 0.0000  4 Br 3.54
Br1 0.7168 0.2832 0.5000  6 Sr 3.54-3.81, 2 Br 3.81
Br2 0.2832 0.7168 0.5000  6 Sr 3.54-3.81, 2 Br 3.81
Sr2 0.0000 0.5000 0.0000  4 Br 3.54
Sr3 0.3068 0.3068 0.5000  2 Br 3.04
Br3 0.5000 0.5000 0.0000  4 Sr 3.04
Sr4 0.6932 0.6932 0.5000  2 Br 3.04
Sr5 0.0000 0.0000 0.0000  6 Sr 4.03-4.30

No. 6
Density functional theory data (PBE) for a geometry-optimized NaMg3Pb2 structure.

volume: 28.602 Å³/atom
total moment: 0.000 μB per formula unit
energy: -27.7 eV/cell
E_form: -0.06 eV/atom

Lattice parameters (Å, degrees): 4.7343 9.2858 9.1474 117.03 90.00 104.77
With the nearest neighbours (Å) after each atom.
Element x y z (fractional)
Pb1 0.7875 0.5750 0.2741  6 Mg 3.07-3.17
Na1 0.1321 0.2642 0.0450  7 Pb 3.51-3.82, 3 Mg 3.78-3.90
Mg1 0.9508 0.9015 0.6085  3 Pb 2.94-3.09, 1 Mg 3.22
Mg2 0.0492 0.0985 0.3915  3 Pb 2.94-3.09, 1 Mg 3.22
Na2 0.8679 0.7358 0.9550  7 Pb 3.51-3.82, 3 Mg 3.78-3.90
Pb2 0.5251 0.0502 0.1836  4 Mg 2.94-2.96, 1 Pb 3.04
Pb3 0.4749 0.9498 0.8164  4 Mg 2.94-2.96, 1 Pb 3.04
Pb4 0.2125 0.4250 0.7259  6 Mg 3.07-3.17
Mg3 0.6930 0.3860 0.4797  4 Pb 2.96-3.17, 5 Mg 3.04-3.31
Mg4 0.3070 0.6140 0.5203  4 Pb 2.96-3.17, 5 Mg 3.04-3.31
Mg5 0.5939 0.1878 0.6777  3 Pb 2.95-3.07, 1 Mg 3.08
Mg6 0.4061 0.8122 0.3223  3 Pb 2.95-3.07, 1 Mg 3.08

No. 7
Density functional theory data (PBE) for a geometry-optimized AcSiS4 structure.

volume: 24.602 Å³/atom
total moment: 0.953 μB per formula unit
energy: -65.1 eV/cell
E_form (uncorrected): -1086 meV per atom

Lattice parameters (Å, degrees): 5.5302 6.7836 8.9270 109.59 104.77 98.28
With the nearest neighbours (Å) after each atom.
Element x y z (fractional)
Ac1 0.3644 0.1144 0.7289  10 S 3.07-3.28
S1 0.6453 0.5972 0.9087  1 Si 2.14
S2 0.3547 0.4028 0.0913  1 Si 2.14
S3 0.2634 0.8115 0.9087  1 Si 2.14
S4 0.1348 0.7042 0.3642  1 Si 2.12
Si1 0.8776 0.6276 0.7552  4 S 2.12-2.14
S5 0.2294 0.1600 0.3642  1 Si 2.12
Si2 0.1224 0.3724 0.2448  4 S 2.12-2.14
S6 0.7366 0.1885 0.0913  1 Si 2.14
S7 0.8652 0.2958 0.6358  1 Si 2.12
S8 0.7706 0.8400 0.6358  1 Si 2.12
Ac2 0.6356 0.8856 0.2711  10 S 3.07-3.28

No. 8
Density functional theory data (PBE) for a geometry-optimized RbNb6Se12 structure.

volume: 21.620 Å³/atom
total moment: 0.000 μB per formula unit
energy: -113.0 eV/cell
E_form (uncorrected): -515 meV per atom

Lattice parameters (Å, degrees): 7.8640 7.8640 7.8640 106.47 106.47 106.47
With the nearest neighbours (Å) after each atom.
Element x y z (fractional)
Se1 0.5982 0.8670 0.5982  3 Nb 2.52-2.78
Se2 0.8670 0.5982 0.5982  3 Nb 2.52-2.78
Nb1 0.3041 0.7061 0.7061  5 Se 2.52-2.78
Nb2 0.2939 0.2939 0.6959  5 Se 2.52-2.78
Se3 0.5982 0.5982 0.8670  3 Nb 2.52-2.78
Nb3 0.7061 0.3041 0.7061  5 Se 2.52-2.78
Se4 0.8794 0.5000 0.1206  4 Nb 2.76-2.88, 3 Se 2.97-3.04
Rb1 0.0000 0.0000 0.0000  6 Se 3.41
Nb4 0.7061 0.7061 0.3041  5 Se 2.52-2.78
Se5 0.5000 0.8794 0.1206  4 Nb 2.76-2.88, 3 Se 2.97-3.04
Se6 0.8794 0.1206 0.5000  4 Nb 2.76-2.88, 3 Se 2.97-3.04
Se7 0.1206 0.5000 0.8794  4 Nb 2.76-2.88, 3 Se 2.97-3.04
Se8 0.4018 0.1330 0.4018  3 Nb 2.52-2.78
Se9 0.4018 0.4018 0.1330  3 Nb 2.52-2.78
Nb5 0.2939 0.6959 0.2939  5 Se 2.52-2.78
Nb6 0.6959 0.2939 0.2939  5 Se 2.52-2.78
Se10 0.5000 0.1206 0.8794  4 Nb 2.76-2.88, 3 Se 2.97-3.04
Se11 0.1330 0.4018 0.4018  3 Nb 2.52-2.78
Se12 0.1206 0.8794 0.5000  4 Nb 2.76-2.88, 3 Se 2.97-3.04

No. 9
Density functional theory data (PBE) for a geometry-optimized K2NaHg3Sb4 structure.

volume: 31.377 Å³/atom
total moment: 0.000 μB per formula unit
energy: -23.2 eV/cell
E_form (uncorrected): -232 meV per atom

Lattice parameters (Å, degrees): 5.0196 5.0196 12.4528 90.00 90.00 90.00
With the nearest neighbours (Å) after each atom.
Element x y z (fractional)
Sb1 0.5000 0.0000 0.6367  3 Hg 2.79-3.03, 2 Na 3.03
Hg1 0.0000 0.0000 0.5000  4 Sb 3.03
Sb2 0.5000 0.5000 0.0000  4 Hg 3.05
K1 0.5000 0.0000 0.2522  8 Sb 3.81-4.02, 6 Hg 3.82-3.98, 2 Na 3.98
K2 0.0000 0.5000 0.7478  8 Sb 3.81-4.02, 6 Hg 3.82-3.98, 2 Na 3.98
Hg2 0.5000 0.0000 0.8605  5 Sb 2.79-3.05
Na1 0.5000 0.5000 0.5000  4 Sb 3.03
Sb3 0.0000 0.0000 0.0000  4 Hg 3.05
Hg3 0.0000 0.5000 0.1395  5 Sb 2.79-3.05
Sb4 0.0000 0.5000 0.3633  3 Hg 2.79-3.03, 2 Na 3.03

No. 10
Density functional theory data (PBE) for a geometry-optimized ScAsPb2 structure.

volume: 26.641 Å³/atom
total moment: 0.000 μB per formula unit
energy: -18.1 eV/cell
E_form: 0.07 eV/atom

Lattice parameters (Å, degrees): 8.3928 8.3928 8.3928 26.88 26.88 26.88
With the nearest neighbours (Å) after each atom.
Element x y z (fractional)
As1 0.7500 0.7500 0.7500  6 Pb 2.92
Pb1 0.4932 0.4932 0.4932  3 As 2.92, 3 Sc 3.14
Pb2 0.0068 0.0068 0.0068  3 As 2.92, 3 Sc 3.14
Sc1 0.2500 0.2500 0.2500  6 Pb 3.14